DFT (PBE-GGA) results for an optimized crystal structure of RbTe2.

Values from the calculation:
Raw total energy = -2.973 eV/atom
Energy relative to the elements, uncorrected = -556 meV/atom

Lattice parameters (Å, degrees): 5.196 5.247 5.340 78.33 70.47 88.50
Space group P-1 (No. 2)
Asymmetric unit:
Rb 0.000 0.000 0.000 x1
Te 0.411 0.429 0.293 x2